A geometry-optimized MnCrHgF6 structure, computed with GGA+U. Values from VASP.

```
&SYSTEM
  ibrav = 0, nat = 18, ntyp = 4
/
ATOMIC_SPECIES
Mn 54.94 Mn.upf
Cr 52.00 Cr.upf
Hg 200.59 Hg.upf
F 19.00 F.upf
CELL_PARAMETERS angstrom
5.210 0.000 0.000
-2.605 4.512 0.000
0.000 0.000 15.400
ATOMIC_POSITIONS crystal
Mn 0.333 0.667 0.250
Mn 0.667 0.333 0.750
Cr 0.667 0.333 0.250
Cr 0.333 0.667 0.750
Hg 0.000 0.000 0.000
Hg 0.000 0.000 0.500
F 0.629 0.633 0.183
F 0.004 0.371 0.183
F 0.371 0.004 0.683
F 0.996 0.629 0.817
F 0.367 0.371 0.317
F 0.004 0.633 0.317
F 0.633 0.004 0.817
F 0.629 0.996 0.317
F 0.996 0.367 0.683
F 0.367 0.996 0.183
F 0.633 0.629 0.683
F 0.371 0.367 0.817
```

total moment: 5.00 μB/f.u.
calculated volume: 20.11 A^3/atom
electronic total energy: -90.105 eV/cell